No. 1
Compound: LaAgPb2
Source: Alexandria
Functional: PBE-GGA
Structure: relaxed

Lattice parameters (Å, degrees): 5.2710 3.5549 6.2034 87.11 90.00 90.00
Fractional positions:
1 La 0.5000 0.7461 0.7433
2 Pb 0.5000 0.3526 0.2568
3 Pb 0.0000 0.1469 0.9922
4 Ag 0.0000 0.2544 0.5077

Total magnetic moment = 0.101 Bohr magnetons per cell
Energy of formation = -0.2079 eV/atom
Calculated density = 9.46 g/cm3

***

No. 2
Compound: LaAgPb2
Source: Alexandria
Functional: PBE-GGA
Structure: relaxed

Lattice parameters (Å, degrees): 5.4592 5.4592 5.4592 60.00 60.00 60.00
Fractional positions:
1 Pb 0.2500 0.2500 0.2500
2 La 0.7500 0.7500 0.7500
3 Ag 0.5000 0.5000 0.5000
4 Pb 0.0000 0.0000 0.0000

Total magnetic moment = 0.000 Bohr magnetons per cell
Energy of formation = -0.2247 eV/atom
Calculated density = 9.54 g/cm3

***

No. 3
Compound: LaAg2Pb2
Source: Alexandria
Functional: PBE-GGA
Structure: relaxed

Lattice parameters (Å, degrees): 6.8325 6.8325 8.0831 101.97 101.97 125.59
Fractional positions:
1 Pb 0.3684 0.1316 0.2500
2 Pb 0.7976 0.7024 0.2500
3 Ag 0.7152 0.0566 0.4440
4 Ag 0.5566 0.2152 0.9440
5 Pb 0.6316 0.8684 0.7500
6 Ag 0.2848 0.9434 0.5560
7 La 0.0944 0.4056 0.2500
8 La 0.9056 0.5944 0.7500
9 Pb 0.2024 0.2976 0.7500
10 Ag 0.4434 0.7848 0.0560

Total magnetic moment = 0.000 Bohr magnetons per cell
ΔE to the lowest computed polymorph = 4 meV/atom
Energy of formation = -0.1988 eV/atom
Calculated density = 9.34 g/cm3

***

No. 4
Compound: La2AgPb
Source: Alexandria
Functional: PBE-GGA
Structure: relaxed

Lattice parameters (Å, degrees): 4.6155 4.6196 6.5316 90.00 90.00 90.00
Fractional positions:
1 Pb 0.0000 0.0000 0.3727
2 La 0.5000 0.5000 0.3772
3 Ag 0.5000 0.5000 0.8770
4 La 0.0000 0.0000 0.8731

Total magnetic moment = 0.648 Bohr magnetons per cell
Energy of formation = -0.2390 eV/atom
Calculated density = 7.07 g/cm3

***

No. 5
Compound: LaAgPb2
Source: Alexandria
Functional: PBE-GGA
Structure: relaxed

Lattice parameters (Å, degrees): 6.4041 6.4041 6.4041 144.19 131.17 62.02
Fractional positions:
1 La 0.2500 0.7500 0.5000
2 Pb 0.9706 0.9706 0.0000
3 Ag 0.7500 0.2500 0.5000
4 Pb 0.5294 0.5294 0.0000

Total magnetic moment = 0.000 Bohr magnetons per cell
Energy of formation = -0.1905 eV/atom
Calculated density = 9.59 g/cm3

***

No. 6
Compound: La2AgPb
Source: Alexandria
Functional: PBE-GGA
Structure: relaxed

Lattice parameters (Å, degrees): 4.8210 6.5833 8.4693 110.41 90.00 90.00
Fractional positions:
1 La 0.2500 0.7842 0.5879
2 Pb 0.7500 0.6751 0.2947
3 La 0.2500 0.7926 0.0619
4 Ag 0.7500 0.6458 0.7899
5 Ag 0.2500 0.3542 0.2101
6 Pb 0.2500 0.3249 0.7053
7 La 0.7500 0.2158 0.4121
8 La 0.7500 0.2074 0.9381

Total magnetic moment = 1.089 Bohr magnetons per cell
Energy of formation = -0.4277 eV/atom
Calculated density = 7.82 g/cm3

***

No. 7
Compound: LaAgPb2
Source: Alexandria
Functional: PBE-GGA
Structure: relaxed

Lattice parameters (Å, degrees): 6.2327 6.3642 3.4642 78.19 82.07 116.88
Fractional positions:
1 Ag 0.0000 0.5000 0.5000
2 Pb 0.5000 0.0000 0.5000
3 La 0.5000 0.5000 0.0000
4 Pb 0.0000 0.0000 0.0000

Total magnetic moment = 0.281 Bohr magnetons per cell
Energy of formation = -0.1457 eV/atom
Calculated density = 9.49 g/cm3

***

No. 8
Compound: La8Ag2Pb
Source: Alexandria
Functional: PBE-GGA
Structure: relaxed

Lattice parameters (Å, degrees): 5.4629 8.7668 8.9968 117.06 107.67 90.00
Fractional positions:
1 La 0.0662 0.7283 0.1324
2 La 0.3133 0.0324 0.6267
3 La 0.8543 0.7896 0.7087
4 La 0.4010 0.5441 0.8019
5 Ag 0.2182 0.6189 0.4365
6 La 0.6867 0.9676 0.3733
7 Ag 0.7818 0.3811 0.5635
8 Pb 0.5000 0.0000 0.0000
9 La 0.9338 0.2717 0.8676
10 La 0.1457 0.2104 0.2913
11 La 0.5990 0.4559 0.1981

Total magnetic moment = 0.000 Bohr magnetons per cell
Energy of formation = -0.1957 eV/atom
Calculated density = 7.06 g/cm3

***

No. 9
Compound: La2AgPb
Source: Alexandria
Functional: PBE-GGA
Structure: relaxed

Lattice parameters (Å, degrees): 7.2865 7.2865 7.2865 54.58 152.53 133.82
Fractional positions:
1 La 0.0000 0.2317 0.2317
2 Pb 0.0000 0.5000 0.5000
3 La 0.0000 0.7683 0.7683
4 Ag 0.0000 0.0000 0.0000

Total magnetic moment = 0.000 Bohr magnetons per cell
Energy of formation = 0.2281 eV/atom
Calculated density = 7.69 g/cm3

***

No. 10
Compound: La2AgPb
Source: Alexandria
Functional: PBE-GGA
Structure: relaxed

Lattice parameters (Å, degrees): 6.4255 6.4255 4.9517 67.31 67.31 39.17
Fractional positions:
1 Pb 0.4705 0.4705 0.5293
2 La 0.2439 0.2439 0.2562
3 La 0.0176 0.0176 0.9823
4 Ag 0.7680 0.7680 0.7321

Total magnetic moment = 0.002 Bohr magnetons per cell
Energy of formation = -0.3832 eV/atom
Calculated density = 8.36 g/cm3

***

No. 11
Compound: La2AgPb
Source: Alexandria
Functional: PBE-GGA
Structure: relaxed

Lattice parameters (Å, degrees): 3.6043 4.2904 7.7368 90.00 90.00 90.00
Fractional positions:
1 La 0.0000 0.0000 0.9923
2 Ag 0.5000 0.5000 0.7500
3 Pb 0.5000 0.5000 0.2500
4 La 0.0000 0.0000 0.5077

Total magnetic moment = 0.095 Bohr magnetons per cell
Energy of formation = -0.4124 eV/atom
Calculated density = 8.23 g/cm3

***

No. 12
Compound: LaAgPb2
Source: Alexandria
Functional: PBE-GGA
Structure: relaxed

Lattice parameters (Å, degrees): 3.5823 3.5823 9.8242 90.00 90.00 113.96
Fractional positions:
1 Ag 0.5000 0.5000 0.2500
2 Pb 0.0000 0.0000 0.0286
3 Pb 0.0000 0.0000 0.4714
4 La 0.5000 0.5000 0.7500

Total magnetic moment = 0.001 Bohr magnetons per cell
Energy of formation = -0.0662 eV/atom
Calculated density = 9.53 g/cm3